## PuIrRhO6 (PBE-GGA)

Data for crystalline PuIrRhO6 at its relaxed geometry.

Unit cell a=5.188 b=5.188 c=9.112 alpha=90.00 beta=90.00 gamma=120.00
Site moments in Bohr magnetons follow the coordinates.
Atoms (fractional coordinates):
Pu 0.333 0.667 0.250  3.05
Pu 0.667 0.333 0.750  3.05
Ir 0.667 0.333 0.250  -0.25
Ir 0.333 0.667 0.750  -0.25
Rh 0.000 0.000 0.000  -0.17
Rh 0.000 0.000 0.500  -0.17
O 0.675 0.661 0.124  -0.10
O 0.986 0.325 0.124  -0.10
O 0.325 0.986 0.624  -0.10
O 0.014 0.675 0.876  -0.10
O 0.339 0.325 0.376  -0.10
O 0.986 0.661 0.376  -0.10
O 0.661 0.986 0.876  -0.10
O 0.675 0.014 0.376  -0.10
O 0.014 0.339 0.624  -0.10
O 0.339 0.014 0.124  -0.10
O 0.661 0.675 0.624  -0.10
O 0.325 0.339 0.876  -0.10

## Properties
Energy ... -8.20 eV per atom
Space-group type ... P-31c
Fermi-level density of states ... 10.1 states/eV/cell
Spin magnetization ... 2.0 μB per formula unit
Crystal system ... trigonal

***

## PuScIrO6 (PBE-GGA)

Data for crystalline PuScIrO6 at its relaxed geometry.

Unit cell a=5.405 b=5.405 c=8.637 alpha=90.00 beta=90.00 gamma=120.00
Site moments in Bohr magnetons follow the coordinates.
Atoms (fractional coordinates):
Pu 0.667 0.333 0.250  3.08
Pu 0.333 0.667 0.750  3.08
Sc 0.333 0.667 0.250  0.02
Sc 0.667 0.333 0.750  0.02
Ir 0.000 0.000 0.000  -0.40
Ir 0.000 0.000 0.500  -0.40
O 0.677 0.677 0.124  -0.11
O 0.999 0.323 0.124  -0.11
O 0.323 0.999 0.624  -0.11
O 0.001 0.677 0.876  -0.11
O 0.323 0.323 0.376  -0.11
O 0.999 0.677 0.376  -0.11
O 0.677 0.999 0.876  -0.11
O 0.677 0.001 0.376  -0.11
O 0.001 0.323 0.624  -0.11
O 0.323 0.001 0.124  -0.11
O 0.677 0.677 0.624  -0.11
O 0.323 0.323 0.876  -0.11

## Properties
Energy ... -8.72 eV per atom
Space-group type ... P-31c
Fermi-level density of states ... 9.2 states/eV/cell
Spin magnetization ... 2.0 μB per formula unit
Crystal system ... trigonal

***

## SrPuIrO6 (PBE-GGA)

Data for crystalline SrPuIrO6 at its relaxed geometry.

Unit cell a=5.283 b=5.283 c=11.340 alpha=90.00 beta=90.00 gamma=120.00
Site moments in Bohr magnetons follow the coordinates.
Atoms (fractional coordinates):
Sr 0.000 0.000 0.000  -0.01
Sr 0.000 0.000 0.500  -0.01
Pu 0.667 0.333 0.250  2.29
Pu 0.333 0.667 0.750  2.29
Ir 0.333 0.667 0.250  -0.52
Ir 0.667 0.333 0.750  -0.52
O 0.638 0.647 0.148  -0.12
O 0.009 0.362 0.148  -0.12
O 0.362 0.009 0.648  -0.12
O 0.991 0.638 0.852  -0.12
O 0.353 0.362 0.352  -0.12
O 0.009 0.647 0.352  -0.12
O 0.647 0.009 0.852  -0.12
O 0.638 0.991 0.352  -0.12
O 0.991 0.353 0.648  -0.12
O 0.353 0.991 0.148  -0.12
O 0.647 0.638 0.648  -0.12
O 0.362 0.353 0.852  -0.12

## Properties
Energy ... -8.17 eV per atom
Space-group type ... P-31c
Fermi-level density of states ... 4.9 states/eV/cell
Spin magnetization ... 1.0 μB per formula unit
Crystal system ... trigonal

***

## TbPuIrO6 (PBE-GGA)

Data for crystalline TbPuIrO6 at its relaxed geometry.

Unit cell a=5.376 b=5.376 c=9.565 alpha=90.00 beta=90.00 gamma=120.00
Site moments in Bohr magnetons follow the coordinates.
Atoms (fractional coordinates):
Tb 0.333 0.667 0.250  -0.01
Tb 0.667 0.333 0.750  -0.01
Pu 0.000 0.000 0.000  3.28
Pu 0.000 0.000 0.500  3.28
Ir 0.667 0.333 0.250  -0.53
Ir 0.333 0.667 0.750  -0.53
O 0.690 0.652 0.128  -0.12
O 0.963 0.310 0.128  -0.12
O 0.310 0.963 0.628  -0.12
O 0.037 0.690 0.872  -0.12
O 0.348 0.310 0.372  -0.12
O 0.963 0.652 0.372  -0.12
O 0.652 0.963 0.872  -0.12
O 0.690 0.037 0.372  -0.12
O 0.037 0.348 0.628  -0.12
O 0.348 0.037 0.128  -0.12
O 0.652 0.690 0.628  -0.12
O 0.310 0.348 0.872  -0.12

## Properties
Energy ... -8.65 eV per atom
Space-group type ... P-31c
Fermi-level density of states ... 9.5 states/eV/cell
Spin magnetization ... 2.0 μB per formula unit
Crystal system ... trigonal